Entry 1:
Below is a geometry-optimized NdZrNpN3 structure, with properties calculated at the PBE level.

Cell lengths 3.288, 6.959, 8.569 Å; angles 94.29, 90.00, 90.00 degrees
Positions (direct):
N1 0.750 0.404 0.122
N2 0.750 0.311 0.610
N3 0.250 0.137 0.854
N4 0.250 0.689 0.390
N5 0.750 0.863 0.146
N6 0.250 0.596 0.878
Np1 0.750 0.876 0.441
Np2 0.250 0.124 0.559
Zr1 0.250 0.628 0.140
Zr2 0.750 0.372 0.860
Nd1 0.750 0.855 0.845
Nd2 0.250 0.145 0.155

Space-group type: P2_1/m (11)
Formation energy (no corrections), eV/atom: -1.10

---

Entry 2:
Below is a geometry-optimized SrUHg2S6 structure, with properties calculated at the PBE level.

Cell lengths 6.947, 6.947, 7.747 Å; angles 63.36, 63.35, 60.00 degrees
Positions (direct):
S1 0.401 0.686 0.817
S2 0.096 0.401 0.817
S3 0.537 0.231 0.286
S4 0.686 0.096 0.817
S5 0.231 0.946 0.286
S6 0.946 0.536 0.286
Hg1 0.579 0.579 0.263
Hg2 0.053 0.053 0.840
U1 0.316 0.316 0.052
Sr1 0.816 0.816 0.552

Space-group type: R-3 (148)
Formation energy (no corrections), eV/atom: -0.84

---

Entry 3:
Below is a geometry-optimized PrLuAlPd structure, with properties calculated at the PBE level.

Cell lengths 5.115, 5.115, 5.115 Å; angles 60.00, 60.00, 60.00 degrees
Positions (direct):
Pr1 0.250 0.250 0.250
Lu1 0.750 0.750 0.750
Al1 0.500 0.500 0.500
Pd1 0.000 0.000 0.000

Space-group type: F-43m (216)
Formation energy from the elements, kJ per mole of atoms: -50

---

Entry 4:
Below is a geometry-optimized SrH2BrN structure, with properties calculated at the PBE level.

Cell lengths 4.184, 4.425, 4.184 Å; angles 90.00, 90.00, 90.00 degrees
Positions (direct):
Br1 0.000 0.500 0.000
N1 0.000 0.000 0.000
H1 0.500 0.000 0.000
H2 0.000 0.000 0.500
Sr1 0.500 0.500 0.500

Space-group type: P4/mmm (123)

---

Entry 5:
Below is a geometry-optimized TlCuBr2Cl structure, with properties calculated at the PBE level.

Cell lengths 5.202, 5.202, 4.795 Å; angles 90.00, 90.00, 90.00 degrees
Positions (direct):
Br1 0.500 0.000 0.000
Br2 0.000 0.500 0.000
Cu1 0.000 0.000 0.000
Tl1 0.500 0.500 0.500
Cl1 0.000 0.000 0.500

Space-group type: P4/mmm (123)
Formation energy (no corrections), eV/atom: -0.55

---

Entry 6:
Below is a geometry-optimized RbAgRuI2 structure, with properties calculated at the PBE level.

Cell lengths 5.909, 5.276, 5.909 Å; angles 90.00, 90.00, 90.00 degrees
Positions (direct):
Rb1 0.500 0.500 0.500
Ru1 0.000 0.500 0.000
I1 0.500 0.000 0.000
I2 0.000 0.000 0.500
Ag1 0.000 0.000 0.000

Space-group type: P4/mmm (123)
Formation energy (no corrections), eV/atom: 0.41

---

no.,electronic total energy (eV per atom),calculated density (g cm⁻³),volume (Å³/f.u.)
1,-9.636,8.74,97.8
2,-4.669,5.51,277.0
3,-5.076,7.88,94.6
4,-3.060,3.93,77.5
5,-2.880,5.93,129.7
6,-2.827,4.94,184.2